(1)
Here is an optimized crystal structure of SiTc2Pd from the Open Quantum Materials Database. Energies are from PBE-GGA.

Properties
The calculation puts the total magnetic moment at 0.005 μB per formula unit.

Unit cell a=4.322 b=4.322 c=4.322 alpha=60.00 beta=60.00 gamma=60.00
Fractional positions:
Pd  0.250  0.250  0.250
Si  0.500  0.500  0.500
Tc  0.000  0.000  0.000
Tc  0.750  0.750  0.750

***

(2)
Here is an optimized crystal structure of Si2Tc2Pd from the Open Quantum Materials Database. Energies are from PBE-GGA.

Properties
The calculation puts the total magnetic moment at 0.014 μB per formula unit.

Unit cell a=6.726 b=6.726 c=3.075 alpha=90.00 beta=90.00 gamma=90.00
Fractional positions:
Pd  0.000  0.000  0.000
Pd  0.500  0.500  0.000
Si  0.361  0.139  0.000
Si  0.861  0.361  0.000
Si  0.139  0.639  0.000
Si  0.639  0.861  0.000
Tc  0.656  0.156  0.500
Tc  0.156  0.344  0.500
Tc  0.844  0.656  0.500
Tc  0.344  0.844  0.500

***

(3)
Here is an optimized crystal structure of Si2TcPd from the Open Quantum Materials Database. Energies are from PBE-GGA.

Properties
The calculation puts the total magnetic moment at 0.359 μB per formula unit.

Unit cell a=4.331 b=4.331 c=4.331 alpha=60.00 beta=60.00 gamma=60.00
Last column: magnetic moment on the atom in μB.
Fractional positions:
Pd  0.000  0.000  0.000  0.02
Si  0.500  0.500  0.500  -0.01
Si  0.750  0.750  0.750  0.01
Tc  0.250  0.250  0.250  0.31

***

(4)
Here is an optimized crystal structure of TlSiPd from the Open Quantum Materials Database. Energies are from PBE-GGA.

Unit cell a=4.449 b=4.449 c=4.449 alpha=60.00 beta=60.00 gamma=60.00
Fractional positions:
Pd  0.000  0.000  0.000
Si  0.250  0.250  0.250
Tl  0.750  0.750  0.750

***

(5)
Here is an optimized crystal structure of TmSiPd from the Open Quantum Materials Database. Energies are from PBE-GGA.

Properties
The calculation puts the total magnetic moment at 0.002 μB per formula unit.

Unit cell a=6.791 b=6.791 c=4.064 alpha=90.00 beta=90.00 gamma=120.00
Fractional positions:
Pd  0.245  0.000  0.000
Pd  0.000  0.245  0.000
Pd  0.755  0.755  0.000
Si  0.667  0.333  0.000
Si  0.333  0.667  0.000
Si  0.000  0.000  0.500
Tm  0.576  0.000  0.500
Tm  0.424  0.424  0.500
Tm  0.000  0.576  0.500

***

(6)
Here is an optimized crystal structure of Tm6Si2Pd from the Open Quantum Materials Database. Energies are from PBE-GGA.

Properties
The calculation puts the total magnetic moment at 2.317 μB per formula unit.

Unit cell a=7.715 b=7.715 c=4.189 alpha=90.00 beta=90.00 gamma=120.00
Last column: magnetic moment on the atom in μB.
Fractional positions:
Pd  0.000  0.000  0.000  0.06
Si  0.667  0.333  0.500  -0.01
Si  0.333  0.667  0.500  -0.01
Tm  0.595  0.000  0.000  0.28
Tm  0.405  0.405  0.000  0.24
Tm  0.000  0.595  0.000  0.35
Tm  0.261  0.000  0.500  0.27
Tm  0.000  0.261  0.500  0.29
Tm  0.739  0.739  0.500  0.26

***

(7)
Here is an optimized crystal structure of TmSi3Pd4 from the Open Quantum Materials Database. Energies are from PBE-GGA.

Properties
The calculation puts the total magnetic moment at 0.005 μB per formula unit.

Unit cell a=5.829 b=3.773 c=6.048 alpha=90.00 beta=90.49 gamma=90.00
Fractional positions:
Pd  0.446  0.500  0.123
Pd  0.032  0.500  0.332
Pd  0.022  0.000  0.722
Pd  0.516  0.000  0.803
Si  0.164  0.000  0.104
Si  0.325  0.500  0.613
Si  0.825  0.500  0.930
Tm  0.670  0.000  0.372

***

(8)
Here is an optimized crystal structure of TmSiPd from the Open Quantum Materials Database. Energies are from PBE-GGA.

Properties
The calculation puts the total magnetic moment at 0.003 μB per formula unit.

Unit cell a=7.002 b=7.002 c=3.853 alpha=90.00 beta=90.00 gamma=120.00
Fractional positions:
Pd  0.667  0.333  0.000
Pd  0.333  0.667  0.000
Pd  0.000  0.000  0.500
Si  0.247  0.000  0.000
Si  0.000  0.247  0.000
Si  0.753  0.753  0.000
Tm  0.589  0.000  0.500
Tm  0.411  0.411  0.500
Tm  0.000  0.589  0.500

***

(9)
Here is an optimized crystal structure of TmSiPd from the Open Quantum Materials Database. Energies are from PBE-GGA.

Properties
The calculation puts the total magnetic moment at 0.001 μB per formula unit.

Unit cell a=7.707 b=7.707 c=3.265 alpha=90.00 beta=90.00 gamma=120.00
Fractional positions:
Pd  0.631  0.000  0.500
Pd  0.369  0.369  0.500
Pd  0.000  0.631  0.500
Si  0.667  0.333  0.000
Si  0.333  0.667  0.000
Si  0.000  0.000  0.500
Tm  0.289  0.000  0.000
Tm  0.000  0.289  0.000
Tm  0.711  0.711  0.000

***

(10)
Here is an optimized crystal structure of YTm2Si4Pd4 from the Open Quantum Materials Database. Energies are from PBE-GGA.

Properties
The calculation puts the total magnetic moment at 0.003 μB per formula unit.

Unit cell a=7.910 b=7.910 c=7.910 alpha=150.06 beta=127.71 gamma=61.43
Fractional positions:
Pd  0.973  0.675  0.298
Pd  0.623  0.325  0.298
Pd  0.027  0.325  0.702
Pd  0.377  0.675  0.702
Si  0.220  0.220  0.000
Si  0.780  0.780  0.000
Si  0.681  0.500  0.181
Si  0.319  0.500  0.819
Tm  0.624  0.124  0.500
Tm  0.376  0.876  0.500
Y  0.000  0.000  0.000

***

(11)
Here is an optimized crystal structure of YTmSi2Pd from the Open Quantum Materials Database. Energies are from PBE-GGA.

Properties
The calculation puts the total magnetic moment at 0.414 μB per formula unit.

Unit cell a=5.643 b=5.643 c=10.018 alpha=115.69 beta=115.69 gamma=43.98
Last column: magnetic moment on the atom in μB.
Fractional positions:
Pd  0.725  0.725  0.364  0.02
Pd  0.275  0.275  0.636  0.02
Si  0.482  0.482  0.116  -0.01
Si  0.369  0.369  0.434  0.00
Si  0.631  0.631  0.566  0.00
Si  0.518  0.518  0.884  -0.01
Tm  0.002  0.002  0.325  0.08
Tm  0.998  0.998  0.675  0.08
Y  0.187  0.187  0.106  0.14
Y  0.813  0.813  0.894  0.14

***

(12)
Here is an optimized crystal structure of YTmSi4Pd2 from the Open Quantum Materials Database. Energies are from PBE-GGA.

Properties
The calculation puts the total magnetic moment at 0.013 μB per formula unit.

Unit cell a=4.059 b=9.008 c=9.008 alpha=25.57 beta=90.00 gamma=90.00
Fractional positions:
Pd  0.000  0.170  0.170
Pd  0.500  0.829  0.829
Si  0.000  0.035  0.035
Si  0.500  0.248  0.248
Si  0.000  0.751  0.751
Si  0.500  0.966  0.966
Tm  0.500  0.598  0.598
Y  0.000  0.402  0.402

***

So what do the calculations give for raw total energy? Going down the list: -7.8043; -7.6826; -6.4098; -4.2581; -5.9903; -5.3155; -5.7597; -5.9202; -5.5530; -6.2246; -6.3306; -6.1706 eV/atom.
So what do the calculations give for ρ? Going down the list: 9.62; 8.56; 7.53; 9.03; 9.31; 9.05; 8.48; 9.24; 9.00; 8.27; 7.13; 6.81 g/cm3.